## AcIn5Pt3 (GGA-PBE)

Data for an optimized crystal structure of AcIn5Pt3.

## Properties
The calculated density is 10.9 g/cm3. As for the calculated formation energy: -0.526 eV per atom. The size of the total moment comes out at 0.00 μB/f.u. The total energy is -4.518 eV per atom.

Cell: 4.2754 14.4143 13.7635 Å, 90.00 90.00 90.00°
With the nearest neighbours (Å) after each atom.
Space group Cmcm (No. 63)
Unique sites:
Ac 0.0000 0.1673 0.2500 x4  6 Pt 3.44-3.46
In 0.0000 0.0000 0.0000 x4  4 Pt 2.81, 6 In 3.01-3.07
In 0.0000 0.2008 0.5601 x8  4 Pt 2.69-2.99
In 0.0000 0.4406 0.1479 x8  4 Pt 2.75-2.98, 3 In 2.81-3.07
Pt 0.0000 0.1454 0.7500 x4  6 In 2.73-2.84
Pt 0.0000 0.3872 0.5610 x8  7 In 2.69-2.99

---

## AcIn4Pt (GGA-PBE)

Data for an optimized crystal structure of AcIn4Pt.

## Properties
The calculated density is 9.5 g/cm3. As for the calculated formation energy: -0.547 eV per atom. The size of the total moment comes out at 0.00 μB/f.u. The value obtained for the excess energy over the best structure of this formula in the dataset is 0 meV/atom. The total energy is -4.064 eV per atom.

Cell: 4.6607 17.2962 7.6094 Å, 90.00 90.00 90.00°
With the nearest neighbours (Å) after each atom.
Space group Cmcm (No. 63)
Unique sites:
Ac 0.0000 0.1228 0.2500 x4  11 In 3.34-3.68, 2 Pt 3.49
In 0.0000 0.0701 0.7500 x4  1 Pt 2.72
In 0.0000 0.3156 0.0533 x8  3 Pt 2.77-2.87, 1 In 2.99
In 0.0000 0.5000 0.0000 x4  6 In 3.21-3.24
Pt 0.0000 0.2273 0.7500 x4  7 In 2.72-2.87

---

What is the formula in the second record? AcIn4Pt

---

Look up the size of the total moment of the second one. 0.00 μB/f.u.

---

Which formula does entry 2 have? AcIn4Pt

---

What is the formula in the first record? AcIn5Pt3